# 1
HoTmH2Cl4, optimized geometry, DFT PBE-GGA; E_tot = -0.3425 Ry per atom
1.0
3.6935 0.0000 0.0000
-1.8468 3.1987 0.0000
0.0000 0.0000 13.3026
Ho Tm H Cl
1 1 2 4
Direct
0.0000 0.0000 0.0000 Ho
0.0000 0.0000 0.5000 Tm
0.3333 0.6667 0.0000 H
0.6667 0.3333 0.5000 H
0.3333 0.6667 0.3700 Cl
0.3333 0.6667 0.6300 Cl
0.6667 0.3333 0.1318 Cl
0.6667 0.3333 0.8682 Cl



# 2
YHoH2Cl4, optimized geometry, DFT PBE-GGA; E_tot = -0.3610 Ry per atom
1.0
3.7317 0.0000 0.0000
-1.8659 3.2318 0.0000
0.0000 0.0000 13.3128
Y Ho H Cl
1 1 2 4
Direct
0.0000 0.0000 0.0000 Y
0.0000 0.0000 0.5000 Ho
0.3333 0.6667 0.0000 H
0.6667 0.3333 0.5000 H
0.3333 0.6667 0.3693 Cl
0.3333 0.6667 0.6307 Cl
0.6667 0.3333 0.1322 Cl
0.6667 0.3333 0.8678 Cl



# 3
Nd2H2ICl3, optimized geometry, DFT PBE-GGA; E_tot = -0.3343 Ry per atom
1.0
3.9786 0.0000 0.0000
-1.9893 3.4455 0.0000
0.0000 0.0000 14.5230
Nd H I Cl
2 2 1 3
Direct
0.0000 0.0000 0.0000 Nd
0.0000 0.0000 0.4886 Nd
0.3333 0.6667 0.9955 H
0.6667 0.3333 0.4893 H
0.6667 0.3333 0.8467 I
0.3333 0.6667 0.3670 Cl
0.3333 0.6667 0.6104 Cl
0.6667 0.3333 0.1197 Cl



# 4
Nd2H2I3Cl, optimized geometry, DFT PBE-GGA; E_tot = -0.3089 Ry per atom
1.0
4.0880 0.0000 0.0000
-2.0440 3.5403 0.0000
0.0000 0.0000 15.6091
Nd H I Cl
2 2 3 1
Direct
0.0000 0.0000 0.0000 Nd
0.0000 0.0000 0.4889 Nd
0.3333 0.6667 0.4896 H
0.6667 0.3333 0.9959 H
0.3333 0.6667 0.8591 I
0.6667 0.3333 0.3493 I
0.6667 0.3333 0.6285 I
0.3333 0.6667 0.1091 Cl